PrGa2Pd4: relaxed, PBE.

a = 4.3080 Å, b = 6.7625 Å, c = 17.0092 Å
α = 90.00°, β = 90.00°, γ = 90.00°
Closest atoms and distances in Å follow each position.
Element x y z (fractional)
Pr 0.7500 0.0740 0.6383  9 Pd 2.98-3.12, 1 Ga 3.29
Pr 0.2500 0.9260 0.3617  9 Pd 2.98-3.12, 1 Ga 3.29
Pr 0.2500 0.5740 0.8617  9 Pd 2.98-3.12, 1 Ga 3.29
Pr 0.7500 0.4260 0.1383  9 Pd 2.98-3.12, 1 Ga 3.29
Pd 0.2500 0.3990 0.6698  4 Ga 2.68-2.91, 5 Pd 2.89-2.99
Pd 0.7500 0.6010 0.3302  4 Ga 2.68-2.91, 5 Pd 2.89-2.99
Pd 0.7500 0.8990 0.8302  4 Ga 2.68-2.91, 5 Pd 2.89-2.99
Pd 0.2500 0.1010 0.1698  4 Ga 2.68-2.91, 5 Pd 2.89-2.99
Pd 0.2500 0.8130 0.7128  4 Ga 2.49-2.62
Pd 0.7500 0.1870 0.2872  4 Ga 2.49-2.62
Pd 0.7500 0.3130 0.7872  4 Ga 2.49-2.62
Pd 0.2500 0.6870 0.2128  4 Ga 2.49-2.62
Pd 0.2500 0.1416 0.5202  3 Ga 2.71-2.86, 3 Pd 2.85-2.96, 2 Pr 2.98
Pd 0.7500 0.8584 0.4798  3 Ga 2.71-2.86, 3 Pd 2.85-2.96, 2 Pr 2.98
Pd 0.7500 0.6416 0.9798  3 Ga 2.71-2.86, 3 Pd 2.85-2.96, 2 Pr 2.98
Pd 0.2500 0.3584 0.0202  3 Ga 2.71-2.86, 3 Pd 2.85-2.96, 2 Pr 2.98
Pd 0.2500 0.5122 0.4410  4 Ga 2.54-2.72
Pd 0.7500 0.4878 0.5590  4 Ga 2.54-2.72
Pd 0.7500 0.0122 0.0590  4 Ga 2.54-2.72
Pd 0.2500 0.9878 0.9410  4 Ga 2.54-2.72
Ga 0.2500 0.7321 0.5620  6 Pd 2.54-2.72
Ga 0.7500 0.2679 0.4380  6 Pd 2.54-2.72
Ga 0.7500 0.2321 0.9380  6 Pd 2.54-2.72
Ga 0.2500 0.7679 0.0620  6 Pd 2.54-2.72
Ga 0.2500 0.1175 0.7955  6 Pd 2.49-2.68
Ga 0.7500 0.8825 0.2045  6 Pd 2.49-2.68
Ga 0.7500 0.6175 0.7045  6 Pd 2.49-2.68
Ga 0.2500 0.3825 0.2955  6 Pd 2.49-2.68

- Offset from the most stable computed form: 6.5 meV/atom
- Magnetization: 0.000 μB per atom
- Calculated density: 9.46 Mg/m³
- Symmetry: Pnma, No. 62
- ΔH_f (0 K): -0.73 eV/atom